Crystalline CdCoIrO6 at its relaxed geometry, computed with GGA+U.

Values from the calculation:
Total DFT energy (no corrections) in eV/atom: -5.692
Space group: No. 163

Lattice parameters (Å, degrees): 5.068 5.068 9.628 90.00 90.00 120.00
Fractional positions:
Cd1 0.000 0.000 0.000
Cd2 0.000 0.000 0.500
Co1 0.333 0.667 0.250
Co2 0.667 0.333 0.750
Ir1 0.333 0.667 0.750
Ir2 0.667 0.333 0.250
O1 0.005 0.376 0.141
O2 0.005 0.630 0.359
O3 0.370 0.376 0.359
O4 0.370 0.995 0.141
O5 0.376 0.005 0.641
O6 0.376 0.370 0.859
O7 0.624 0.630 0.141
O8 0.624 0.995 0.359
O9 0.630 0.005 0.859
O10 0.630 0.624 0.641
O11 0.995 0.370 0.641
O12 0.995 0.624 0.859